# Cd5Ag

Crystalline Cd5Ag at its relaxed geometry (GGA-PBEsol, Alexandria via LeMat-Bulk).

Computed properties:
Formation energy from the elements in meV per atom: -5
Fermi-level density of states in states/eV per cell: 2.135
V in Å³ per cell: 118
Electronic total energy in eV/atom: -1.55

Unit cell a=4.345 b=4.226 c=6.773 alpha=71.82 beta=90.00 gamma=90.00
Sites, in units of the cell vectors:
Ag: 0.000 0.000 0.000
Cd: 0.500 0.164 0.671
Cd: 0.000 0.337 0.327
Cd: 0.500 0.500 0.000
Cd: 0.000 0.663 0.673
Cd: 0.500 0.836 0.329